No. 1
Below is a geometry-optimized PmSm2Ho5Tm structure, with properties calculated at the PBE level.

a b c (Å): 8.723 8.723 15.266
angles (deg): 90.00 90.00 90.00
Space group I4/mcm (No. 140)
One atom of each set of equivalent atoms:
Pm1 0.000 0.000 0.250 x4
Sm1 0.116 0.384 0.000 x8
Ho1 0.000 0.000 0.000 x4
Ho2 0.209 0.291 0.363 x16
Tm1 0.000 0.500 0.250 x4

Output
* total DFT energy (no corrections): -4.338 eV/atom
* D(E_F): 1.200 states/eV/atom
* ΔH_f (0 K): 279 meV per atom
* magnetic moment: 0.0 μB per formula unit
* mass density: 8230 kg/m³

No. 2
Below is a geometry-optimized NbAs2WSe structure, with properties calculated at the PBE level.

a b c (Å): 4.859 4.859 4.946
angles (deg): 90.00 90.00 90.00
Space group P4/mmm (No. 123)
One atom of each set of equivalent atoms:
Nb1 0.000 0.000 0.000 x1
As1 0.000 0.500 0.500 x2
W1 0.500 0.500 0.500 x1
Se1 0.500 0.500 0.000 x1

Output
* total DFT energy (no corrections): -6.265 eV/atom
* D(E_F): 1.015 states/eV/atom
* magnetic moment: 3.2 μB per formula unit
* mass density: 7190 kg/m³
* excess energy over the best structure of this formula in the dataset: 0 meV/atom
* energy relative to the elements, uncorrected: 0.8965 eV/atom

No. 3
Below is a geometry-optimized SrCd2SbW structure, with properties calculated at the PBE level.

a b c (Å): 5.804 5.804 5.882
angles (deg): 90.00 90.00 90.00
Space group P4/mmm (No. 123)
One atom of each set of equivalent atoms:
Sr1 0.000 0.000 0.000 x1
Cd1 0.000 0.500 0.000 x2
Sb1 0.500 0.500 0.500 x1
W1 0.000 0.000 0.500 x1

Output
* total DFT energy (no corrections): -2.212 eV/atom
* D(E_F): 0.835 states/eV/atom
* magnetic moment: 3.7 μB per formula unit
* mass density: 5179 kg/m³
* energy relative to the elements, uncorrected: 1.9055 eV/atom

No. 4
Below is a geometry-optimized KCdPt2 structure, with properties calculated at the PBE level.

a b c (Å): 2.938 4.027 7.431
angles (deg): 90.00 90.20 90.00
Space group P2/m (No. 10)
One atom of each set of equivalent atoms:
K1 0.000 0.000 0.000 x1
Cd1 0.000 0.000 0.500 x1
Pt1 0.499 0.500 0.313 x2

Output
* total DFT energy (no corrections): -3.518 eV/atom
* D(E_F): 0.808 states/eV/atom
* ΔH_f (0 K): 6 meV per atom
* magnetic moment: 0.0 μB per formula unit
* mass density: 10230 kg/m³
* excess energy over the best structure of this formula in the dataset: 219 meV/atom

No. 5
Below is a geometry-optimized RbFe2Ag structure, with properties calculated at the PBE level.

a b c (Å): 6.935 6.935 6.935
angles (deg): 90.00 90.00 90.00
Space group Fm-3m (No. 225)
One atom of each set of equivalent atoms:
Rb1 0.000 0.000 0.000 x4
Fe1 0.250 0.250 0.250 x8
Ag1 0.000 0.000 0.500 x4

Output
* total DFT energy (no corrections): -3.786 eV/atom
* D(E_F): 1.167 states/eV/atom
* ΔH_f (0 K): 1400 meV per atom
* magnetic moment: 6.1 μB per formula unit
* mass density: 6075 kg/m³
* excess energy over the best structure of this formula in the dataset: 377 meV/atom

No. 6
Below is a geometry-optimized MgAu3I structure, with properties calculated at the PBE level.

a b c (Å): 5.078 5.078 5.078
angles (deg): 90.00 90.00 90.00
Space group Pm-3m (No. 221)
One atom of each set of equivalent atoms:
Mg1 0.000 0.000 0.000 x1
Au1 0.000 0.000 0.500 x3
I1 0.500 0.500 0.500 x1

Output
* total DFT energy (no corrections): -2.113 eV/atom
* D(E_F): 0.797 states/eV/atom
* magnetic moment: 0.0 μB per formula unit
* mass density: 9409 kg/m³
* excess energy over the best structure of this formula in the dataset: 0 meV/atom
* energy relative to the elements, uncorrected: 0.4819 eV/atom